1.
VASP calculation (PBE-GGA) on MnTe2PbI after structural relaxation.

raw total energy = -20.667 eV per cell
distance to the lowest polymorph of the same formula = 0 meV per atom
magnetic moment = 4.45 μB per formula unit
raw formation energy = 0.01 eV per atom
calculated volume = 31.86 Å³ per atom

a b c (Å): 5.391 5.391 5.481
angles (deg): 90.00 90.00 90.00
Each line ends with the local moment (μB).
Fractional coordinates of all 5 atoms:
I 0.000 0.000 0.500  0.02
Mn 0.000 0.000 0.000  3.83
Pb 0.500 0.500 0.500  0.06
Te 0.000 0.500 0.000  0.02
Te 0.500 0.000 0.000  0.02

2.
VASP calculation (PBE-GGA) on K2CdSb after structural relaxation.

raw total energy = -31.274 eV per cell
distance to the lowest polymorph of the same formula = 119 meV per atom
magnetic moment = 0.00 μB per formula unit
raw formation energy = -0.15 eV per atom
calculated volume = 43.21 Å³ per atom

a b c (Å): 7.199 9.282 11.330
angles (deg): 114.06 90.00 90.00
Fractional coordinates of all 16 atoms:
Cd 0.251 0.549 0.599
Cd 0.249 0.049 0.599
Cd 0.749 0.451 0.401
Cd 0.751 0.951 0.401
Sb 0.500 0.750 0.500
Sb 0.000 0.250 0.500
Sb 0.500 0.250 0.500
Sb 0.000 0.750 0.500
K 0.250 0.924 0.850
K 0.750 0.576 0.150
K 0.750 0.076 0.150
K 0.749 0.114 0.729
K 0.249 0.386 0.271
K 0.751 0.614 0.729
K 0.250 0.424 0.850
K 0.251 0.886 0.271

3.
VASP calculation (PBE-GGA) on Ca2Ac6CoRu after structural relaxation.

raw total energy = -45.872 eV per cell
ΔE_f = -0.084 eV/atom
magnetic moment = 0.00 μB per formula unit
calculated volume = 39.13 Å³ per atom

a b c (Å): 8.208 8.208 8.202
angles (deg): 119.95 119.95 90.02
Fractional coordinates of all 10 atoms:
Ac 0.752 0.248 0.000
Ac 0.752 0.752 0.504
Ac 0.753 0.753 0.000
Ac 0.247 0.248 0.999
Ac 0.248 0.248 0.495
Ac 0.248 0.753 0.000
Co 0.000 0.000 0.999
Ru 0.500 0.501 0.000
Ca 0.750 0.251 0.500
Ca 0.250 0.750 0.500